Entry 1:
A plane-wave DFT calculation with PBE-GGA was carried out for an optimized crystal structure of YHoGeRu.

formation enthalpy at 0 K: -1.95 eV/f.u.

Cell and atoms, written as extended XYZ:
```
4
Lattice="4.9229 0.0000 0.0000 2.4615 4.2634 0.0000 2.4615 1.4211 4.0195" Properties=species:S:1:pos:R:3 pbc="T T T"
Y 0.0000 0.0000 0.0000
Ru 7.3844 4.2634 3.0147
Ge 2.4615 1.4211 1.0049
Ho 4.9229 2.8422 2.0098
```

***

Entry 2:
A plane-wave DFT calculation with PBE-GGA was carried out for an optimized crystal structure of HoGeS.

ΔE_f (raw): -1326 meV/atom

Cell and atoms, written as extended XYZ:
```
6
Lattice="-0.4085 1.8667 -3.2504 -0.4008 -3.2727 -1.8291 -8.2873 1.0466 3.8296" Properties=species:S:1:pos:R:3 pbc="T T T"
Ho -6.0924 0.2408 0.9041
Ho -3.0042 -0.6002 -2.1540
Ge -0.2004 -1.6363 -0.9145
Ge -0.2043 0.9333 -1.6252
S -3.2769 0.1295 0.4863
S -5.8197 -0.4890 -1.7362
```

***

Entry 3:
A plane-wave DFT calculation with PBE-GGA was carried out for an optimized crystal structure of Ho5GeS5.

ΔE_f (raw): -1868 meV/atom

Cell and atoms, written as extended XYZ:
```
11
Lattice="-4.2100 2.4087 2.7090 -0.2750 -6.8269 -0.0540 4.9130 2.0278 5.8322" Properties=species:S:1:pos:R:3 pbc="T T T"
Ho -2.8522 -2.2478 3.2627
Ho -0.4407 -1.2135 6.0907
Ho -2.1050 1.2043 1.3545
Ho 0.8687 -1.1770 2.3965
Ho 3.2802 -0.1427 5.2244
Ge 0.0000 0.0000 0.0000
S -1.2787 -0.0361 3.7414
S 1.2068 0.9718 6.7080
S 2.4565 1.0139 2.9161
S -0.7788 -3.3623 1.7792
S 1.7067 -2.3544 4.7457
```

***

Entry 4:
A plane-wave DFT calculation with PBE-GGA was carried out for an optimized crystal structure of Ho8GeS5.

ΔE_f (raw): -1355 meV/atom

Cell and atoms, written as extended XYZ:
```
14
Lattice="6.9132 0.5386 -2.0948 -3.6812 5.8763 -2.0948 -0.2713 -0.5386 7.2185" Properties=species:S:1:pos:R:3 pbc="T T T"
Ho 4.0743 4.8823 -2.8040
Ho 0.3068 2.1610 0.4630
Ho 0.9761 5.2662 -0.4062
Ho -1.1852 2.6258 4.0761
Ho 3.7660 2.4965 -0.5548
Ho 0.6291 -0.3035 5.1906
Ho 0.9111 5.0128 3.2081
Ho 2.3644 1.3641 2.9426
Ge -1.1683 4.2726 1.5144
S 4.8802 1.4836 3.9561
S 2.7065 3.7265 1.6212
S -1.1049 6.0096 -1.9833
S 1.6160 3.2074 -2.0948
S -0.5605 0.5329 2.4636
```

***

Entry 5:
A plane-wave DFT calculation with PBE-GGA was carried out for an optimized crystal structure of Ho2GeS.

ΔE_f (raw): -1299 meV/atom

Cell and atoms, written as extended XYZ:
```
4
Lattice="3.9696 0.0000 0.0000 1.9848 3.4378 0.0000 1.9848 1.1459 6.9596" Properties=species:S:1:pos:R:3 pbc="T T T"
Ho 1.9848 1.1459 5.2831
Ho 1.9848 1.1459 1.6487
Ge 5.9544 3.4378 6.9374
S 3.9696 2.2919 3.5296
```

***

Entry 6:
A plane-wave DFT calculation with PBE-GGA was carried out for an optimized crystal structure of HoGe6S8.

ΔE_f (raw): -466 meV/atom

Cell and atoms, written as extended XYZ:
```
15
Lattice="7.2491 0.8836 0.9125 0.6571 7.2731 0.9125 0.6571 0.6779 7.2987" Properties=species:S:1:pos:R:3 pbc="T T T"
Ho 0.0000 0.0000 0.0000
Ge 5.4649 4.0401 7.2910
Ge 3.8677 7.1074 5.8201
Ge 6.9833 5.6855 4.2728
Ge 3.0983 4.7944 1.8327
Ge 4.6955 1.7272 3.3036
Ge 1.5799 3.1491 4.8509
S 6.0913 6.2843 6.4900
S 2.4719 2.5503 2.6337
S 5.6077 7.0385 2.8165
S 6.8601 2.6275 5.9121
S 2.4123 5.6857 7.1255
S 2.9555 1.7961 6.3072
S 1.7031 6.2071 3.2116
S 6.1509 3.1489 1.9982
```

***

no.,total DFT energy (no corrections) (eV for the cell shown)
1,-26.88
2,-34.60
3,-68.69
4,-80.85
5,-23.10
6,-72.29